# 1
Mg7Tc6: optimized geometry, PBE.

Lattice parameters (Å, degrees): 9.493 9.493 9.493 31.91 31.91 31.91
Element x y z (fractional)
1 Mg 0.920 0.411 0.411
2 Mg 0.411 0.411 0.920
3 Mg 0.411 0.920 0.411
4 Mg 0.080 0.589 0.589
5 Mg 0.589 0.080 0.589
6 Mg 0.589 0.589 0.080
7 Mg 0.500 0.500 0.500
8 Tc 0.954 0.954 0.954
9 Tc 0.046 0.046 0.046
10 Tc 0.863 0.863 0.863
11 Tc 0.137 0.137 0.137
12 Tc 0.667 0.667 0.667
13 Tc 0.333 0.333 0.333

Output
Its space group is No. 166.


# 2
MgTc5: optimized geometry, PBE.

Lattice parameters (Å, degrees): 2.783 2.783 11.730 90.00 90.00 90.00
Element x y z (fractional)
1 Mg 0.500 0.500 0.000
2 Tc 0.000 0.000 0.819
3 Tc 0.000 0.000 0.181
4 Tc 0.500 0.500 0.664
5 Tc 0.500 0.500 0.336
6 Tc 0.000 0.000 0.500

Output
Its space group is No. 123.


# 3
MgTc5: optimized geometry, PBE.

Lattice parameters (Å, degrees): 4.755 4.755 4.526 90.00 90.00 120.00
Element x y z (fractional)
1 Mg 0.000 0.000 0.500
2 Tc 0.671 0.000 0.000
3 Tc 0.329 0.329 0.000
4 Tc 0.000 0.671 0.000
5 Tc 0.667 0.333 0.500
6 Tc 0.333 0.667 0.500

Output
Its space group is No. 189.


# 4
Mg5Tc24: optimized geometry, PBE.

Lattice parameters (Å, degrees): 8.327 8.327 8.327 109.47 109.47 109.47
Element x y z (fractional)
1 Mg 0.000 0.639 0.000
2 Mg 0.639 0.000 0.000
3 Mg 0.000 0.000 0.639
4 Mg 0.361 0.361 0.361
5 Mg 0.000 0.000 0.000
6 Tc 0.193 0.376 0.000
7 Tc 0.376 0.193 0.000
8 Tc 0.807 0.807 0.184
9 Tc 0.624 0.624 0.816
10 Tc 0.807 0.184 0.807
11 Tc 0.624 0.816 0.624
12 Tc 0.376 0.000 0.193
13 Tc 0.193 0.000 0.376
14 Tc 0.000 0.376 0.193
15 Tc 0.000 0.193 0.376
16 Tc 0.816 0.624 0.624
17 Tc 0.184 0.807 0.807
18 Tc 0.677 0.394 0.000
19 Tc 0.394 0.677 0.000
20 Tc 0.323 0.323 0.717
21 Tc 0.606 0.606 0.283
22 Tc 0.323 0.717 0.323
23 Tc 0.606 0.283 0.606
24 Tc 0.394 0.000 0.677
25 Tc 0.677 0.000 0.394
26 Tc 0.000 0.394 0.677
27 Tc 0.000 0.677 0.394
28 Tc 0.283 0.606 0.606
29 Tc 0.717 0.323 0.323

Output
Its space group is No. 217.


Total moment per entry: 0.000 0.000 0.000 0.000 μB/atom
Final energy per entry: -5.141 -8.759 -8.767 -8.874 eV/atom